# Fe2MoHPd (PBE, relaxed)
# - density of states at the Fermi level (states/eV/cell) = 2.7
# - SG = No. 123
# - raw total energy (eV per cell) = -35.53
# - ΔE to the lowest computed polymorph (kJ per mole of atoms) = 3.0
data_Fe2MoHPd
_cell_length_a 3.8205
_cell_length_b 3.8205
_cell_length_c 3.7019
_cell_angle_alpha 90.00
_cell_angle_beta 90.00
_cell_angle_gamma 90.00
_space_group_name_H-M_alt 'P 1'
_space_group_IT_number 1
_space_group_name_Hall 'P 1'
loop_
_atom_site_label
_atom_site_fract_x
_atom_site_fract_y
_atom_site_fract_z
Fe1 0.0000 0.5000 0.0000
Fe2 0.5000 0.0000 0.0000
Mo1 0.0000 0.0000 0.5000
H1 0.5000 0.5000 0.0000
Pd1 0.5000 0.5000 0.5000

***

# Fe2MoHPd (PBE, relaxed)
# - density of states at the Fermi level (states/eV/cell) = 4.3
# - SG = No. 123
# - raw total energy (eV per cell) = -35.68
# - ΔE to the lowest computed polymorph (kJ per mole of atoms) = 0.0
data_Fe2MoHPd
_cell_length_a 3.8126
_cell_length_b 3.8126
_cell_length_c 3.8415
_cell_angle_alpha 90.00
_cell_angle_beta 90.00
_cell_angle_gamma 90.00
_space_group_name_H-M_alt 'P 1'
_space_group_IT_number 1
_space_group_name_Hall 'P 1'
loop_
_atom_site_label
_atom_site_fract_x
_atom_site_fract_y
_atom_site_fract_z
Fe1 0.0000 0.5000 0.0000
Fe2 0.5000 0.0000 0.0000
Mo1 0.0000 0.0000 0.5000
H1 0.0000 0.0000 0.0000
Pd1 0.5000 0.5000 0.5000

***

Repeat the second record exactly.
# Fe2MoHPd (PBE, relaxed)
# - density of states at the Fermi level (states/eV/cell) = 4.3
# - SG = No. 123
# - raw total energy (eV per cell) = -35.68
# - ΔE to the lowest computed polymorph (kJ per mole of atoms) = 0.0
data_Fe2MoHPd
_cell_length_a 3.8126
_cell_length_b 3.8126
_cell_length_c 3.8415
_cell_angle_alpha 90.00
_cell_angle_beta 90.00
_cell_angle_gamma 90.00
_space_group_name_H-M_alt 'P 1'
_space_group_IT_number 1
_space_group_name_Hall 'P 1'
loop_
_atom_site_label
_atom_site_fract_x
_atom_site_fract_y
_atom_site_fract_z
Fe1 0.0000 0.5000 0.0000
Fe2 0.5000 0.0000 0.0000
Mo1 0.0000 0.0000 0.5000
H1 0.0000 0.0000 0.0000
Pd1 0.5000 0.5000 0.5000